The following is a DFT calculation (GGA+U) of a relaxed MgNi2O4 crystal.

POSCAR file:
```
MgNi2O4
1.0
5.8377 -0.0008 -0.0038
-3.0147 5.1104 0.0009
-3.0123 -1.7774 4.7926
O Mg Ni
8 2 4
Cartesian
-2.7849 3.3757 1.1500 O
1.3722 2.3830 3.3943 O
-1.5614 0.9493 1.3954 O
-0.0188 0.1649 3.5637 O
-0.1704 3.1674 1.2260 O
2.5957 -0.0435 3.6396 O
1.5122 0.7155 1.3735 O
-1.7014 2.6168 3.4162 O
1.3636 4.2491 0.5971 Mg
-1.5528 -0.9168 4.1926 Mg
1.4127 -0.8891 2.3943 Ni
4.3304 2.5543 -0.0033 Ni
-0.0946 1.6662 2.3949 Ni
-3.0135 1.6665 2.3968 Ni
```

The calculated total energy is -5.110 eV per atom. Its polymorph energy (0 for the lowest one) is 0 meV per atom. The calculation puts the total magnetization at 0.29 μB per atom. The symmetry is I4_1/a.